Below is crystalline ScB2Pt2 at its relaxed geometry, with properties calculated at the PBE-GGA level.

Lattice parameters (Å, degrees): 5.2418 5.2418 5.2418 136.30 136.30 63.52
Last column: nearest neighbours and their distance in Å.
Element x y z (fractional)
Sc1 0.0000 0.0000 0.0000  8 B 2.96, 10 Pt 3.05-3.15
B1 0.2500 0.7500 0.5000  4 Pt 2.16
B2 0.7500 0.2500 0.5000  4 Pt 2.16
Pt1 0.3532 0.3532 0.0000  4 B 2.16
Pt2 0.6468 0.6468 0.0000  4 B 2.16

Output
Space group   I4/mmm (139)
Total magnetization   0.000 μB per formula unit
Final energy   -6.83 eV/atom
Formation energy   -0.477 eV/atom